Computed, not measured: a relaxed structure of AlSiMo2 at the PBE-GGA level of DFT.

Values from the calculation:
**Density of states at the Fermi level**: 3.1 states/eV per cell
**ΔE to the lowest computed polymorph**: 0.298 eV per atom
**E_form (uncorrected)**: -0.0055 eV per atom
**Energy**: -30.850 eV/cell

a b c (Å): 3.984 3.847 3.847
angles (deg): 90.00 90.00 90.00
Fractional positions:
Mo: 0.000 0.500 0.500
Mo: 0.000 0.000 0.000
Si: 0.500 0.500 0.000
Al: 0.500 0.000 0.500